# CaDyTeSe (PBE, relaxed)
# Energy relative to the elements, uncorrected ... -149 kJ/mol of atoms
# Magnetic moment ... 0.00 μB per formula unit
data_CaDyTeSe
_chemical_formula_sum 'Ca1 Dy1 Te1 Se1'
_cell_length_a 7.949
_cell_length_b 7.949
_cell_length_c 7.949
_cell_angle_alpha 30.26
_cell_angle_beta 30.26
_cell_angle_gamma 30.26
_space_group_name_H-M_alt 'P 1'
_space_group_IT_number 1
_space_group_name_Hall 'P 1'
loop_
_atom_site_label
_atom_site_type_symbol
_atom_site_fract_x
_atom_site_fract_y
_atom_site_fract_z
Ca1 Ca 0.000 0.000 0.000
Dy1 Dy 0.162 0.162 0.162
Te1 Te 0.579 0.579 0.579
Se1 Se 0.752 0.752 0.752

=====

# NdPtF (PBE, relaxed)
# Energy relative to the elements, uncorrected ... -184 kJ/mol of atoms
# Magnetic moment ... 0.00 μB per formula unit
data_NdPtF
_chemical_formula_sum 'Nd2 Pt2 F2'
_cell_length_a 11.560
_cell_length_b 11.560
_cell_length_c 11.560
_cell_angle_alpha 163.04
_cell_angle_beta 163.04
_cell_angle_gamma 24.08
_space_group_name_H-M_alt 'P 1'
_space_group_IT_number 1
_space_group_name_Hall 'P 1'
loop_
_atom_site_label
_atom_site_type_symbol
_atom_site_fract_x
_atom_site_fract_y
_atom_site_fract_z
Nd1 Nd 0.137 0.137 0.000
Nd2 Nd 0.863 0.863 0.000
Pt1 Pt 0.285 0.285 0.000
Pt2 Pt 0.715 0.715 0.000
F1 F 0.418 0.418 0.000
F2 F 0.582 0.582 0.000

=====

# CdIn6Bi2 (PBE, relaxed)
# Excess energy over the best structure of this formula in the dataset ... 9 meV/atom
# DFT formation energy ... 0.4 eV/f.u.
# Magnetic moment ... 0.00 μB per formula unit
data_CdIn6Bi2
_chemical_formula_sum 'Cd1 In6 Bi2'
_cell_length_a 4.583
_cell_length_b 8.216
_cell_length_c 8.216
_cell_angle_alpha 120.12
_cell_angle_beta 90.00
_cell_angle_gamma 90.00
_space_group_name_H-M_alt 'P 1'
_space_group_IT_number 1
_space_group_name_Hall 'P 1'
loop_
_atom_site_label
_atom_site_type_symbol
_atom_site_fract_x
_atom_site_fract_y
_atom_site_fract_z
Cd1 Cd 0.000 0.000 0.000
In1 In 0.000 0.398 0.999
In2 In 0.000 0.598 0.598
In3 In 0.000 0.999 0.398
In4 In 0.500 0.249 0.249
In5 In 0.500 0.750 0.998
In6 In 0.500 0.998 0.750
Bi1 Bi 0.500 0.331 0.666
Bi2 Bi 0.500 0.666 0.331

=====

For the records above, the corresponding calculated total energy values read -4.854 -6.136 -2.745 eV/atom.